The following is a PBEsol calculation of an optimized crystal structure of LiCaCd2, from Alexandria via LeMat-Bulk.

a b c (Å): 5.358 5.358 5.358
angles (deg): 128.41 128.41 75.96
Positions (direct):
Li (0.000, 0.000, 0.000)
Ca (0.500, 0.500, 0.000)
Cd (0.250, 0.750, 0.500)
Cd (0.750, 0.250, 0.500)

Electronic total energy in eV/cell: -7.5
Theoretical density in Mg/m³: 4.9
Size of the total moment in Bohr magnetons per cell: 0.00


The following is a PBEsol calculation of an optimized crystal structure of LiCaCd2, from Alexandria via LeMat-Bulk.

a b c (Å): 3.431 4.935 5.586
angles (deg): 90.00 90.68 90.00
Positions (direct):
Li (0.000, 0.000, 0.000)
Ca (0.982, 0.500, 0.387)
Cd (0.487, 0.000, 0.581)
Cd (0.487, 0.500, 0.882)

Electronic total energy in eV/cell: -7.4
Theoretical density in Mg/m³: 4.8
Size of the total moment in Bohr magnetons per cell: 0.00


The following is a PBEsol calculation of an optimized crystal structure of LiCaCd, from Alexandria via LeMat-Bulk.

a b c (Å): 5.105 5.105 5.105
angles (deg): 60.00 60.00 60.00
Positions (direct):
Li (0.000, 0.000, 0.000)
Ca (0.250, 0.250, 0.250)
Cd (0.500, 0.500, 0.500)

Electronic total energy in eV/cell: -4.6
Theoretical density in Mg/m³: 2.8
Size of the total moment in Bohr magnetons per cell: 0.00


The following is a PBEsol calculation of an optimized crystal structure of Ca2MgCd, from Alexandria via LeMat-Bulk.

a b c (Å): 5.424 5.424 5.424
angles (deg): 60.00 60.00 60.00
Positions (direct):
Ca (0.250, 0.250, 0.250)
Ca (0.750, 0.750, 0.750)
Mg (0.000, 0.000, 0.000)
Cd (0.500, 0.500, 0.500)

Electronic total energy in eV/cell: -8.1
Theoretical density in Mg/m³: 3.2
Size of the total moment in Bohr magnetons per cell: 0.00


The following is a PBEsol calculation of an optimized crystal structure of CaMg2Cd, from Alexandria via LeMat-Bulk.

a b c (Å): 3.396 5.046 6.006
angles (deg): 90.00 100.54 90.00
Positions (direct):
Ca (0.000, 0.000, 0.000)
Mg (0.353, 0.500, 0.729)
Mg (0.647, 0.500, 0.271)
Cd (0.500, 0.000, 0.500)

Electronic total energy in eV/cell: -7.2
Theoretical density in Mg/m³: 3.3
Size of the total moment in Bohr magnetons per cell: 0.00


The following is a PBEsol calculation of an optimized crystal structure of Ca2MgCd2, from Alexandria via LeMat-Bulk.

a b c (Å): 8.003 8.003 4.319
angles (deg): 90.00 90.00 90.00
Positions (direct):
Ca (0.170, 0.330, 0.000)
Ca (0.330, 0.830, 0.000)
Ca (0.670, 0.170, 0.000)
Ca (0.830, 0.670, 0.000)
Mg (0.000, 0.000, 0.500)
Mg (0.500, 0.500, 0.500)
Cd (0.130, 0.630, 0.500)
Cd (0.370, 0.130, 0.500)
Cd (0.630, 0.870, 0.500)
Cd (0.870, 0.370, 0.500)

Electronic total energy in eV/cell: -19.3
Theoretical density in Mg/m³: 4.0
Size of the total moment in Bohr magnetons per cell: 0.00


The following is a PBEsol calculation of an optimized crystal structure of CaMg2Cd, from Alexandria via LeMat-Bulk.

a b c (Å): 4.575 4.575 4.776
angles (deg): 90.00 90.00 90.00
Positions (direct):
Ca (0.000, 0.000, 0.000)
Mg (0.000, 0.500, 0.500)
Mg (0.500, 0.000, 0.500)
Cd (0.500, 0.500, 0.000)

Electronic total energy in eV/cell: -7.3
Theoretical density in Mg/m³: 3.3
Size of the total moment in Bohr magnetons per cell: 0.00


The following is a PBEsol calculation of an optimized crystal structure of CaMg2Cd, from Alexandria via LeMat-Bulk.

a b c (Å): 5.144 5.144 5.144
angles (deg): 120.13 120.13 89.77
Positions (direct):
Ca (0.000, 0.000, 0.000)
Mg (0.250, 0.750, 0.500)
Mg (0.500, 0.500, 0.000)
Cd (0.750, 0.250, 0.500)

Electronic total energy in eV/cell: -7.5
Theoretical density in Mg/m³: 3.5
Size of the total moment in Bohr magnetons per cell: 0.00


The following is a PBEsol calculation of an optimized crystal structure of Ca2MgCd, from Alexandria via LeMat-Bulk.

a b c (Å): 3.730 3.730 8.468
angles (deg): 90.00 90.00 90.00
Positions (direct):
Ca (0.000, 0.000, 0.000)
Ca (0.500, 0.500, 0.342)
Mg (0.500, 0.500, 0.746)
Cd (0.000, 0.000, 0.571)

Electronic total energy in eV/cell: -7.8
Theoretical density in Mg/m³: 3.1
Size of the total moment in Bohr magnetons per cell: 0.00


The following is a PBEsol calculation of an optimized crystal structure of CaMg2Cd, from Alexandria via LeMat-Bulk.

a b c (Å): 6.104 6.104 6.104
angles (deg): 144.77 128.81 63.67
Positions (direct):
Ca (0.000, 0.000, 0.000)
Mg (0.276, 0.776, 0.500)
Mg (0.724, 0.224, 0.500)
Cd (0.500, 0.500, 0.000)

Electronic total energy in eV/cell: -7.3
Theoretical density in Mg/m³: 3.3
Size of the total moment in Bohr magnetons per cell: 0.00


The following is a PBEsol calculation of an optimized crystal structure of Ca2MgCd, from Alexandria via LeMat-Bulk.

a b c (Å): 3.877 5.402 5.403
angles (deg): 90.00 90.00 90.00
Positions (direct):
Ca (0.000, 0.000, 0.000)
Ca (0.000, 0.500, 0.499)
Mg (0.500, 0.500, 0.998)
Cd (0.500, 0.000, 0.501)

Electronic total energy in eV/cell: -8.1
Theoretical density in Mg/m³: 3.2
Size of the total moment in Bohr magnetons per cell: 0.00


The following is a PBEsol calculation of an optimized crystal structure of CaMg2Cd2, from Alexandria via LeMat-Bulk.

a b c (Å): 8.390 8.390 3.394
angles (deg): 90.00 90.00 90.00
Positions (direct):
Ca (0.000, 0.000, 0.000)
Ca (0.500, 0.500, 0.000)
Mg (0.169, 0.331, 0.500)
Mg (0.331, 0.831, 0.500)
Mg (0.669, 0.169, 0.500)
Mg (0.831, 0.669, 0.500)
Cd (0.127, 0.627, 0.000)
Cd (0.373, 0.127, 0.000)
Cd (0.627, 0.873, 0.000)
Cd (0.873, 0.373, 0.000)

Electronic total energy in eV/cell: -17.4
Theoretical density in Mg/m³: 4.4
Size of the total moment in Bohr magnetons per cell: 0.00


The following is a PBEsol calculation of an optimized crystal structure of Ca2MgCd, from Alexandria via LeMat-Bulk.

a b c (Å): 10.487 10.487 10.487
angles (deg): 20.53 20.53 20.53
Positions (direct):
Ca (0.245, 0.245, 0.245)
Ca (0.755, 0.755, 0.755)
Mg (0.000, 0.000, 0.000)
Cd (0.500, 0.500, 0.500)

Electronic total energy in eV/cell: -7.3
Theoretical density in Mg/m³: 2.9
Size of the total moment in Bohr magnetons per cell: 0.00


The following is a PBEsol calculation of an optimized crystal structure of Ca2MgCd2, from Alexandria via LeMat-Bulk.

a b c (Å): 9.560 9.560 9.560
angles (deg): 155.45 155.45 35.00
Positions (direct):
Ca (0.105, 0.105, 0.000)
Ca (0.895, 0.895, 0.000)
Mg (0.500, 0.500, 0.000)
Cd (0.250, 0.750, 0.500)
Cd (0.750, 0.250, 0.500)

Electronic total energy in eV/cell: -8.6
Theoretical density in Mg/m³: 3.6
Size of the total moment in Bohr magnetons per cell: 0.00


The following is a PBEsol calculation of an optimized crystal structure of CaMg2Cd, from Alexandria via LeMat-Bulk.

a b c (Å): 3.399 4.810 6.406
angles (deg): 90.00 105.31 90.00
Positions (direct):
Ca (0.000, 0.000, 0.000)
Mg (0.336, 0.500, 0.673)
Mg (0.737, 0.000, 0.478)
Cd (0.610, 0.500, 0.219)

Electronic total energy in eV/cell: -7.3
Theoretical density in Mg/m³: 3.3
Size of the total moment in Bohr magnetons per cell: 0.00


The following is a PBEsol calculation of an optimized crystal structure of CaMg2Cd2, from Alexandria via LeMat-Bulk.

a b c (Å): 7.282 7.282 7.282
angles (deg): 145.24 145.24 49.98
Positions (direct):
Ca (0.000, 0.000, 0.000)
Mg (0.250, 0.750, 0.500)
Mg (0.750, 0.250, 0.500)
Cd (0.396, 0.396, 0.000)
Cd (0.604, 0.604, 0.000)

Electronic total energy in eV/cell: -8.9
Theoretical density in Mg/m³: 4.2
Size of the total moment in Bohr magnetons per cell: 0.00


The following is a PBEsol calculation of an optimized crystal structure of CaMg2Cd, from Alexandria via LeMat-Bulk.

a b c (Å): 3.616 3.616 7.598
angles (deg): 90.00 90.00 90.00
Positions (direct):
Ca (0.000, 0.000, 0.000)
Mg (0.000, 0.000, 0.469)
Mg (0.500, 0.500, 0.701)
Cd (0.500, 0.500, 0.263)

Electronic total energy in eV/cell: -7.4
Theoretical density in Mg/m³: 3.4
Size of the total moment in Bohr magnetons per cell: 0.00


The following is a PBEsol calculation of an optimized crystal structure of Ca2MgCd, from Alexandria via LeMat-Bulk.

a b c (Å): 6.330 6.330 5.634
angles (deg): 110.20 110.20 33.10
Positions (direct):
Ca (0.000, 0.000, 0.000)
Ca (0.205, 0.205, 0.660)
Mg (0.765, 0.765, 0.210)
Cd (0.464, 0.464, 0.480)

Electronic total energy in eV/cell: -7.9
Theoretical density in Mg/m³: 3.1
Size of the total moment in Bohr magnetons per cell: 0.00


The following is a PBEsol calculation of an optimized crystal structure of Ca2MgCd, from Alexandria via LeMat-Bulk.

a b c (Å): 6.479 6.479 6.479
angles (deg): 146.14 129.72 62.00
Positions (direct):
Ca (0.000, 0.000, 0.000)
Ca (0.708, 0.208, 0.500)
Mg (0.270, 0.770, 0.500)
Cd (0.469, 0.469, 0.000)

Electronic total energy in eV/cell: -7.9
Theoretical density in Mg/m³: 3.1
Size of the total moment in Bohr magnetons per cell: 0.00


The following is a PBEsol calculation of an optimized crystal structure of CaMg30CdO32, from Alexandria via LeMat-Bulk.

a b c (Å): 8.521 8.521 8.522
angles (deg): 90.00 90.00 90.00
Positions (direct):
Ca (0.000, 0.000, 0.000)
Mg (0.000, 0.000, 0.500)
Mg (0.000, 0.253, 0.253)
Mg (0.000, 0.253, 0.747)
Mg (0.000, 0.500, 0.000)
Mg (0.000, 0.500, 0.500)
Mg (0.000, 0.747, 0.253)
Mg (0.000, 0.747, 0.747)
Mg (0.248, 0.500, 0.253)
Mg (0.248, 0.500, 0.747)
Mg (0.250, 0.250, 0.500)
Mg (0.250, 0.750, 0.500)
Mg (0.251, 0.251, 0.000)
Mg (0.251, 0.749, 0.000)
Mg (0.253, 0.000, 0.253)
Mg (0.253, 0.000, 0.747)
Mg (0.500, 0.000, 0.000)
Mg (0.500, 0.000, 0.500)
Mg (0.500, 0.248, 0.253)
Mg (0.500, 0.248, 0.747)
Mg (0.500, 0.500, 0.500)
Mg (0.500, 0.752, 0.253)
Mg (0.500, 0.752, 0.747)
Mg (0.747, 0.000, 0.253)
Mg (0.747, 0.000, 0.747)
Mg (0.749, 0.251, 0.000)
Mg (0.749, 0.749, 0.000)
Mg (0.750, 0.250, 0.500)
Mg (0.750, 0.750, 0.500)
Mg (0.752, 0.500, 0.253)
Mg (0.752, 0.500, 0.747)
Cd (0.500, 0.500, 0.000)
O (0.000, 0.000, 0.262)
O (0.000, 0.000, 0.738)
O (0.000, 0.252, 0.500)
O (0.000, 0.261, 0.000)
O (0.000, 0.500, 0.254)
O (0.000, 0.500, 0.746)
O (0.000, 0.739, 0.000)
O (0.000, 0.748, 0.500)
O (0.238, 0.500, 0.000)
O (0.249, 0.500, 0.500)
O (0.250, 0.250, 0.250)
O (0.250, 0.250, 0.750)
O (0.250, 0.750, 0.250)
O (0.250, 0.750, 0.750)
O (0.252, 0.000, 0.500)
O (0.261, 0.000, 0.000)
O (0.500, 0.000, 0.254)
O (0.500, 0.000, 0.746)
O (0.500, 0.238, 0.000)
O (0.500, 0.249, 0.500)
O (0.500, 0.500, 0.264)
O (0.500, 0.500, 0.736)
O (0.500, 0.751, 0.500)
O (0.500, 0.762, 0.000)
O (0.739, 0.000, 0.000)
O (0.748, 0.000, 0.500)
O (0.750, 0.250, 0.250)
O (0.750, 0.250, 0.750)
O (0.750, 0.750, 0.250)
O (0.750, 0.750, 0.750)
O (0.751, 0.500, 0.500)
O (0.762, 0.500, 0.000)

Electronic total energy in eV/cell: -394.0
Theoretical density in Mg/m³: 3.7
Size of the total moment in Bohr magnetons per cell: 0.00